# PBE with a Hubbard U MnSbO4, relaxed
data_MnSbO4
_cell_length_a 5.649
_cell_length_b 9.792
_cell_length_c 5.649
_cell_angle_alpha 90.00
_cell_angle_beta 90.00
_cell_angle_gamma 90.00
_space_group_name_H-M_alt 'C 2 2 21'
_space_group_IT_number 20
loop_
_space_group_symop_operation_xyz
'x,y,z'
'-x,-y,z+1/2'
'x,-y,-z'
'-x,y,-z+1/2'
'x+1/2,y+1/2,z'
'-x+1/2,-y+1/2,z+1/2'
'x+1/2,-y+1/2,-z'
'-x+1/2,y+1/2,-z+1/2'
loop_
_atom_site_label
_atom_site_type_symbol
_atom_site_fract_x
_atom_site_fract_y
_atom_site_fract_z
Mn1 Mn 0.000 0.235 0.250
Sb1 Sb 0.241 0.500 0.500
O1 O 0.000 0.033 0.250
O2 O 0.000 0.451 0.250
O3 O 0.249 0.201 0.020
# Final energy: -160.21 eV for the cell shown
# M_tot: 0.667 μB/atom